Record 1
# SnHg7Pb4, relaxed, DFT GGA-PBE
# Volume in Å³ per atom: 29.34
# ΔH_f (0 K) in eV/f.u.: 1.17
# Crystal system: monoclinic
# Total energy in eV/atom: -1.648
data_SnHg7Pb4
_space_group_name_H-M_alt 'C 1 2/m 1'
_space_group_IT_number 12
_space_group_name_Hall '-C 2y'
_cell_length_a 11.798
_cell_length_b 5.627
_cell_length_c 11.885
_cell_angle_alpha 90.00
_cell_angle_beta 116.83
_cell_angle_gamma 90.00
loop_
_atom_site_label
_atom_site_fract_x
_atom_site_fract_y
_atom_site_fract_z
Sn1 0.000 0.000 0.000
Hg1 0.000 0.500 0.000
Hg2 0.072 0.000 0.296
Hg3 0.142 0.500 0.516
Hg4 0.217 0.000 0.935
Pb1 0.097 0.500 0.757
Pb2 0.240 0.500 0.308

Record 2
# Rb2LiScI6, relaxed, DFT GGA-PBE
# Volume in Å³ per atom: 41.51
# E_form (uncorrected) in eV per formula unit: -13.26
# Energy above the most stable polymorph in this dataset in eV/atom: 0.0000
# Crystal system: trigonal
# Total energy in eV/atom: -3.274
data_Rb2LiScI6
_space_group_name_H-M_alt 'R -3 m'
_space_group_IT_number 166
_space_group_name_Hall '-R 3 2"'
_cell_length_a 8.2965
_cell_length_b 8.2965
_cell_length_c 41.7782
_cell_angle_alpha 90.00
_cell_angle_beta 90.00
_cell_angle_gamma 120.00
loop_
_atom_site_label
_atom_site_fract_x
_atom_site_fract_y
_atom_site_fract_z
Rb1 0.0000 0.0000 0.1161
Rb2 0.0000 0.0000 0.2933
Li1 0.0000 0.0000 0.0000
Li2 0.0000 0.0000 0.5000
Sc1 0.0000 0.0000 0.4159
I1 0.0050 0.5025 0.2919
I2 0.0068 0.5034 0.1226

Record 3
# LiPrScIn, relaxed, DFT GGA-PBE
# Volume in Å³ per atom: 25.46
# ΔH_f (0 K) in eV/f.u.: -0.95
# Crystal system: cubic
# Total energy in eV/atom: -4.178
data_LiPrScIn
_space_group_name_H-M_alt 'F -4 3 m'
_space_group_IT_number 216
_space_group_name_Hall 'F -4 2 3'
_cell_length_a 7.413
_cell_length_b 7.413
_cell_length_c 7.413
_cell_angle_alpha 90.00
_cell_angle_beta 90.00
_cell_angle_gamma 90.00
loop_
_atom_site_label
_atom_site_fract_x
_atom_site_fract_y
_atom_site_fract_z
Li1 0.000 0.000 0.000
Pr1 0.250 0.250 0.750
Sc1 0.250 0.250 0.250
In1 0.000 0.000 0.500

Record 4
# K2YHg2, relaxed, DFT GGA-PBE
# Volume in Å³ per atom: 32.55
# ΔH_f (0 K) in eV/f.u.: 0.48
# Energy above the most stable polymorph in this dataset in eV/atom: 0.1411
# Crystal system: tetragonal
# Total energy in eV/atom: -1.757
data_K2YHg2
_space_group_name_H-M_alt 'I 4/m m m'
_space_group_IT_number 139
_space_group_name_Hall '-I 4 2'
_cell_length_a 4.482
_cell_length_b 4.482
_cell_length_c 16.206
_cell_angle_alpha 90.00
_cell_angle_beta 90.00
_cell_angle_gamma 90.00
loop_
_atom_site_label
_atom_site_fract_x
_atom_site_fract_y
_atom_site_fract_z
K1 0.000 0.500 0.250
Y1 0.000 0.000 0.000
Hg1 0.000 0.000 0.412

Record 5
# RbLi3Te2, relaxed, DFT GGA-PBE
# Volume in Å³ per atom: 29.24
# E_form (uncorrected) in eV per formula unit: -6.11
# Crystal system: monoclinic
# Total energy in eV/atom: -3.183
data_RbLi3Te2
_space_group_name_H-M_alt 'C 1 2/m 1'
_space_group_IT_number 12
_space_group_name_Hall '-C 2y'
_cell_length_a 18.073
_cell_length_b 4.700
_cell_length_c 9.078
_cell_angle_alpha 90.00
_cell_angle_beta 114.51
_cell_angle_gamma 90.00
loop_
_atom_site_label
_atom_site_fract_x
_atom_site_fract_y
_atom_site_fract_z
Rb1 0.131 0.000 0.041
Li1 0.065 0.000 0.399
Li2 0.095 0.500 0.627
Li3 0.191 0.500 0.466
Te1 0.023 0.500 0.258
Te2 0.200 0.000 0.678

Record 6
# CaFeB3, relaxed, DFT GGA-PBE
# Volume in Å³ per atom: 11.40
# ΔH_f (0 K) in eV/f.u.: 0.99
# Energy above the most stable polymorph in this dataset in eV/atom: 0.0000
# Crystal system: cubic
# Total energy in eV/atom: -5.902
data_CaFeB3
_space_group_name_H-M_alt 'P m -3 m'
_space_group_IT_number 221
_space_group_name_Hall '-P 4 2 3'
_cell_length_a 3.849
_cell_length_b 3.849
_cell_length_c 3.849
_cell_angle_alpha 90.00
_cell_angle_beta 90.00
_cell_angle_gamma 90.00
loop_
_atom_site_label
_atom_site_fract_x
_atom_site_fract_y
_atom_site_fract_z
Ca1 0.000 0.000 0.000
Fe1 0.500 0.500 0.500
B1 0.000 0.500 0.500

Record 7
# Pm3TmSn2, relaxed, DFT GGA-PBE
# Volume in Å³ per atom: 30.55
# ΔH_f (0 K) in eV/f.u.: -3.48
# Energy above the most stable polymorph in this dataset in eV/atom: 0.0000
# Crystal system: orthorhombic
# Total energy in eV/atom: -5.035
data_Pm3TmSn2
_space_group_name_H-M_alt 'I b a m'
_space_group_IT_number 72
_space_group_name_Hall '-I 2 2c'
_cell_length_a 6.523
_cell_length_b 17.290
_cell_length_c 6.501
_cell_angle_alpha 90.00
_cell_angle_beta 90.00
_cell_angle_gamma 90.00
loop_
_atom_site_label
_atom_site_fract_x
_atom_site_fract_y
_atom_site_fract_z
Pm1 0.000 0.000 0.250
Pm2 0.248 0.174 0.000
Tm1 0.000 0.500 0.250
Sn1 0.244 0.362 0.000

Record 8
# LiVZn, relaxed, DFT GGA-PBE
# Volume in Å³ per atom: 13.78
# ΔH_f (0 K) in eV/f.u.: 0.30
# Energy above the most stable polymorph in this dataset in eV/atom: 0.0939
# Crystal system: triclinic
# Total energy in eV/atom: -4.001
data_LiVZn
_space_group_name_H-M_alt 'P -1'
_space_group_IT_number 2
_space_group_name_Hall '-P 1'
_cell_length_a 2.537
_cell_length_b 4.843
_cell_length_c 7.060
_cell_angle_alpha 79.05
_cell_angle_beta 80.95
_cell_angle_gamma 77.91
loop_
_atom_site_label
_atom_site_fract_x
_atom_site_fract_y
_atom_site_fract_z
Li1 0.133 0.179 0.346
V1 0.000 0.000 0.000
V2 0.500 0.500 0.000
Zn1 0.375 0.322 0.673